(1)
## CoPS (PBE-GGA)

Data for a relaxed CoPS crystal.

Values from the calculation:
Its space-group type is Cm, No. 8. As for the uncorrected formation energy: -0.0540 eV/atom. Its volume is 15.0 Å³/atom.

Lattice parameters (Å, degrees): 4.0818 4.0818 3.9528 101.17 101.17 44.44
Last column: nearest neighbours and their distance in Å.
Fractional positions:
Co: 0.0000 0.0000 0.0000  3 P 2.24-2.25, 2 S 2.33
P: 0.6959 0.6959 0.8932  1 S 2.10, 3 Co 2.24-2.25
S: 0.4946 0.4946 0.4376  1 P 2.10, 2 Co 2.33

(2)
## CoP2S2 (PBE-GGA)

Data for a relaxed CoP2S2 crystal.

Values from the calculation:
The value obtained for the energy above the most stable polymorph in this dataset is 231 meV/atom. Its space-group type is P4/mmm, No. 123. As for the uncorrected formation energy: 0.9706 eV/atom. Its volume is 17.5 Å³/atom.

Lattice parameters (Å, degrees): 4.4543 4.4543 4.4196 90.00 90.00 90.00
Last column: nearest neighbours and their distance in Å.
Fractional positions:
Co: 0.0000 0.0000 0.0000  8 S 3.14, 4 P 3.15
P: 0.5000 0.5000 0.0000  2 P 2.21
P: 0.5000 0.5000 0.5000  2 P 2.21, 4 S 2.23
S: 0.0000 0.5000 0.5000  2 P 2.23
S: 0.5000 0.0000 0.5000  2 P 2.23

(3)
## CoPS (PBE-GGA)

Data for a relaxed CoPS crystal.

Values from the calculation:
Its space-group type is I-4m2, No. 119. As for the uncorrected formation energy: -0.0527 eV/atom. Its volume is 13.9 Å³/atom.

Lattice parameters (Å, degrees): 3.8955 3.8955 3.8955 119.95 119.95 90.08
Last column: nearest neighbours and their distance in Å.
Fractional positions:
Co: 0.0000 0.0000 0.0000  4 S 2.39, 4 P 2.39
P: 0.2500 0.7500 0.5000  4 Co 2.39
S: 0.7500 0.2500 0.5000  4 Co 2.39

| no. | density of states at the Fermi level (states/eV per cell) |
| --- | --- |
| 1 | 1.52 |
| 2 | 5.72 |
| 3 | 0.81 |